Record 1
First-principles (PBE) data for an optimized crystal structure of NaAgBPt2, as listed in Alexandria.

Cell lengths 4.160, 4.160, 4.648 Å; angles 90.00, 90.00, 90.00 degrees
Element x y z (fractional)
Na (0.500, 0.500, 0.500)
Pt (0.000, 0.500, 0.000)
Pt (0.500, 0.000, 0.000)
B (0.000, 0.000, 0.000)
Ag (0.000, 0.000, 0.500)

Results
* ΔE to the lowest computed polymorph: 0.0 meV per atom
* SG: P4/mmm
* formation enthalpy at 0 K: -0.1999 eV per atom
* energy: -4.7857 eV/atom
* size of the total moment: 0.0 μB per formula unit



Record 2
First-principles (PBE) data for an optimized crystal structure of NaNd2Hg, as listed in Alexandria.

Cell lengths 3.610, 3.610, 12.406 Å; angles 81.63, 81.63, 60.00 degrees
Element x y z (fractional)
Hg (0.500, 0.500, 0.500)
Na (0.000, 0.000, 0.000)
Nd (0.901, 0.901, 0.296)
Nd (0.099, 0.099, 0.704)

Results
* ΔE to the lowest computed polymorph: 112.6 meV per atom
* SG: R-3m
* formation enthalpy at 0 K: 0.0160 eV per atom
* energy: -2.7731 eV/atom
* size of the total moment: 0.0 μB per formula unit



Record 3
First-principles (PBE) data for an optimized crystal structure of KSrTlIn, as listed in Alexandria.

Cell lengths 5.854, 5.854, 5.854 Å; angles 60.00, 60.00, 60.00 degrees
Element x y z (fractional)
K (0.750, 0.750, 0.750)
Sr (0.250, 0.250, 0.250)
Tl (0.000, 0.000, 0.000)
In (0.500, 0.500, 0.500)

Results
* SG: F-43m
* formation enthalpy at 0 K: -0.1759 eV per atom
* energy: -2.1469 eV/atom
* size of the total moment: 0.0 μB per formula unit



Record 4
First-principles (PBE) data for an optimized crystal structure of CoSn3W, as listed in Alexandria.

Cell lengths 5.251, 5.251, 5.251 Å; angles 90.00, 90.00, 90.00 degrees
Each line ends with the local moment (μB).
Element x y z (fractional)
W (0.000, 0.000, 0.000)  0.39
Sn (0.000, 0.000, 0.500)  0.01
Sn (0.000, 0.500, 0.000)  0.00
Sn (0.500, 0.000, 0.000)  0.00
Co (0.500, 0.500, 0.500)  2.33

Results
* ΔE to the lowest computed polymorph: 0.0 meV per atom
* SG: Pm-3m
* formation enthalpy at 0 K: 1.0701 eV per atom
* energy: -5.3434 eV/atom
* size of the total moment: 3.0 μB per formula unit



Record 5
First-principles (PBE) data for an optimized crystal structure of Al2TlCr, as listed in Alexandria.

Cell lengths 3.023, 3.023, 8.234 Å; angles 90.00, 90.00, 90.01 degrees
Each line ends with the local moment (μB).
Element x y z (fractional)
Cr (0.000, 0.000, 0.463)  2.96
Al (0.500, 0.500, 0.274)  -0.04
Al (0.000, 0.000, 0.036)  0.00
Tl (0.500, 0.500, 0.727)  -0.01

Results
* ΔE to the lowest computed polymorph: 169.3 meV per atom
* SG: P4mm
* formation enthalpy at 0 K: 0.3342 eV per atom
* energy: -4.5345 eV/atom
* size of the total moment: 3.2 μB per formula unit



Record 6
First-principles (PBE) data for an optimized crystal structure of AlTe3, as listed in Alexandria.

Cell lengths 5.982, 3.078, 6.141 Å; angles 75.81, 90.00, 90.00 degrees
Element x y z (fractional)
Te (0.000, 0.500, 0.500)
Te (0.500, 0.952, 0.758)
Te (0.500, 0.048, 0.242)
Al (0.000, 0.000, 0.000)

Results
* SG: P2/m
* energy: -3.0439 eV/atom
* size of the total moment: 0.0 μB per formula unit
* formation energy (no corrections): 23.93 kJ/mol of atoms



Record 7
First-principles (PBE) data for an optimized crystal structure of BiP2Pb, as listed in Alexandria.

Cell lengths 4.139, 4.139, 7.104 Å; angles 73.06, 73.06, 60.00 degrees
Element x y z (fractional)
Bi (0.000, 0.000, 0.000)
P (0.251, 0.251, 0.246)
P (0.749, 0.749, 0.754)
Pb (0.500, 0.500, 0.500)

Results
* ΔE to the lowest computed polymorph: 0.0 meV per atom
* SG: R-3m
* formation enthalpy at 0 K: 0.1592 eV per atom
* energy: -4.4431 eV/atom
* size of the total moment: 0.0 μB per formula unit



Record 8
First-principles (PBE) data for an optimized crystal structure of Mg3Ag12Pd5, as listed in Alexandria.

Cell lengths 13.434, 13.434, 13.434 Å; angles 109.47, 109.47, 109.47 degrees
Element x y z (fractional)
Mg (0.375, 0.625, 0.250)
Mg (0.875, 0.125, 0.250)
Mg (0.375, 0.750, 0.625)
Mg (0.250, 0.625, 0.875)
Mg (0.250, 0.125, 0.375)
Mg (0.625, 0.250, 0.375)
Mg (0.875, 0.750, 0.125)
Mg (0.625, 0.375, 0.750)
Mg (0.750, 0.375, 0.125)
Mg (0.125, 0.250, 0.875)
Mg (0.125, 0.875, 0.750)
Mg (0.750, 0.875, 0.625)
Ag (0.924, 0.839, 0.567)
Ag (0.643, 0.067, 0.228)
Ag (0.585, 0.857, 0.424)
Ag (0.857, 0.272, 0.433)
Ag (0.772, 0.433, 0.357)
Ag (0.067, 0.643, 0.728)
Ag (0.567, 0.339, 0.924)
Ag (0.839, 0.924, 0.067)
Ag (0.576, 0.933, 0.661)
Ag (0.433, 0.661, 0.076)
Ag (0.085, 0.924, 0.357)
Ag (0.076, 0.161, 0.433)
Ag (0.415, 0.143, 0.576)
Ag (0.085, 0.161, 0.228)
Ag (0.272, 0.415, 0.839)
Ag (0.924, 0.085, 0.857)
Ag (0.915, 0.076, 0.643)
Ag (0.076, 0.915, 0.143)
Ag (0.067, 0.424, 0.839)
Ag (0.567, 0.228, 0.143)
Ag (0.357, 0.933, 0.772)
Ag (0.839, 0.915, 0.272)
Ag (0.339, 0.772, 0.415)
Ag (0.915, 0.839, 0.772)
Ag (0.643, 0.576, 0.915)
Ag (0.339, 0.567, 0.424)
Ag (0.161, 0.076, 0.933)
Ag (0.433, 0.772, 0.857)
Ag (0.933, 0.576, 0.161)
Ag (0.228, 0.567, 0.643)
Ag (0.228, 0.661, 0.085)
Ag (0.576, 0.643, 0.415)
Ag (0.661, 0.433, 0.576)
Ag (0.728, 0.585, 0.161)
Ag (0.357, 0.424, 0.085)
Ag (0.857, 0.585, 0.924)
Ag (0.424, 0.357, 0.585)
Ag (0.585, 0.728, 0.661)
Ag (0.728, 0.143, 0.067)
Ag (0.424, 0.067, 0.339)
Ag (0.143, 0.415, 0.076)
Ag (0.161, 0.085, 0.728)
Ag (0.415, 0.272, 0.339)
Ag (0.272, 0.857, 0.933)
Ag (0.933, 0.357, 0.272)
Ag (0.772, 0.339, 0.915)
Ag (0.143, 0.728, 0.567)
Ag (0.661, 0.228, 0.585)
Pd (0.250, 0.875, 0.125)
Pd (0.500, 0.000, 0.500)
Pd (0.375, 0.250, 0.125)
Pd (0.125, 0.375, 0.250)
Pd (0.875, 0.250, 0.625)
Pd (0.750, 0.625, 0.375)
Pd (0.125, 0.750, 0.375)
Pd (0.250, 0.375, 0.625)
Pd (0.000, 0.500, 0.500)
Pd (0.000, 0.500, 0.000)
Pd (0.000, 0.000, 0.000)
Pd (0.875, 0.625, 0.750)
Pd (0.500, 0.500, 0.500)
Pd (0.750, 0.125, 0.875)
Pd (0.000, 0.000, 0.500)
Pd (0.500, 0.000, 0.000)
Pd (0.625, 0.750, 0.875)
Pd (0.375, 0.125, 0.750)
Pd (0.500, 0.500, 0.000)
Pd (0.625, 0.875, 0.250)

Results
* SG: Ia-3d
* formation enthalpy at 0 K: 0.4411 eV per atom
* energy: -2.8071 eV/atom
* size of the total moment: 0.0 μB per formula unit



Record 9
First-principles (PBE) data for an optimized crystal structure of CrHg4Se, as listed in Alexandria.

Cell lengths 5.943, 5.943, 5.943 Å; angles 60.00, 60.00, 60.00 degrees
Each line ends with the local moment (μB).
Element x y z (fractional)
Hg (0.874, 0.375, 0.375)  -0.05
Hg (0.375, 0.874, 0.375)  -0.05
Hg (0.375, 0.375, 0.375)  -0.05
Hg (0.375, 0.375, 0.874)  -0.05
Se (0.750, 0.750, 0.750)  -0.20
Cr (0.000, 0.000, 0.000)  4.13

Results
* SG: F-43m
* energy: -1.8847 eV/atom
* size of the total moment: 4.2 μB per formula unit
* formation energy (no corrections): 48.35 kJ/mol of atoms



Record 10
First-principles (PBE) data for an optimized crystal structure of CrCoPb4, as listed in Alexandria.

Cell lengths 6.297, 6.297, 6.297 Å; angles 60.00, 60.00, 60.00 degrees
Each line ends with the local moment (μB).
Element x y z (fractional)
Pb (0.375, 0.375, 0.375)  -0.02
Pb (0.874, 0.375, 0.375)  -0.02
Pb (0.375, 0.874, 0.375)  -0.02
Pb (0.375, 0.375, 0.874)  -0.02
Co (0.750, 0.750, 0.750)  1.95
Cr (0.000, 0.000, 0.000)  4.11

Results
* SG: F-43m
* formation enthalpy at 0 K: 0.9840 eV per atom
* energy: -4.2764 eV/atom
* size of the total moment: 6.6 μB per formula unit



Record 11
First-principles (PBE) data for an optimized crystal structure of DySn6Pt, as listed in Alexandria.

Cell lengths 7.027, 6.303, 6.346 Å; angles 60.22, 74.88, 58.32 degrees
Element x y z (fractional)
Pt (0.500, 0.500, 0.000)
Sn (0.251, 0.418, 0.455)
Sn (0.271, 0.275, 0.000)
Sn (0.749, 0.127, 0.455)
Sn (0.729, 0.725, 0.000)
Sn (0.749, 0.582, 0.545)
Sn (0.251, 0.873, 0.545)
Dy (0.000, 0.000, 0.000)

Results
* SG: C2/m
* formation enthalpy at 0 K: -0.2610 eV per atom
* energy: -4.5935 eV/atom
* size of the total moment: 0.0 μB per formula unit



Record 12
First-principles (PBE) data for an optimized crystal structure of Ce2Er3TmSe6, as listed in Alexandria.

Cell lengths 4.056, 8.252, 9.162 Å; angles 103.64, 102.79, 90.00 degrees
Each line ends with the local moment (μB).
Element x y z (fractional)
Ce (0.832, 0.663, 0.664)  0.84
Ce (0.168, 0.337, 0.336)  0.84
Se (0.338, 0.408, 0.675)  -0.01
Se (0.662, 0.592, 0.325)  -0.01
Se (0.004, 0.754, 0.008)  0.00
Se (0.665, 0.073, 0.330)  0.00
Se (0.335, 0.927, 0.670)  0.00
Se (0.996, 0.246, 0.992)  0.00
Er (0.500, 0.500, 0.000)  0.02
Er (0.831, 0.167, 0.662)  0.01
Er (0.169, 0.833, 0.338)  0.01
Tm (0.500, 0.000, 0.000)  0.04

Results
* SG: C2/m
* energy: -5.9833 eV/atom
* size of the total moment: 2.2 μB per formula unit
* formation energy (no corrections): -167.76 kJ/mol of atoms



Record 13
First-principles (PBE) data for an optimized crystal structure of AlZnTc, as listed in Alexandria.

Cell lengths 6.654, 6.506, 2.715 Å; angles 81.15, 75.07, 23.78 degrees
Element x y z (fractional)
Al (0.994, 0.994, 0.006)
Zn (0.669, 0.669, 0.331)
Tc (0.337, 0.337, 0.663)

Results
* ΔE to the lowest computed polymorph: 224.0 meV per atom
* SG: Fmm2
* formation enthalpy at 0 K: 0.0524 eV per atom
* energy: -5.0751 eV/atom
* size of the total moment: 0.0 μB per formula unit



Record 14
First-principles (PBE) data for an optimized crystal structure of Np2AlSe5, as listed in Alexandria.

Cell lengths 5.586, 7.157, 13.061 Å; angles 90.00, 90.00, 112.97 degrees
Each line ends with the local moment (μB).
Element x y z (fractional)
Se (0.949, 0.897, 0.621)  -0.12
Se (0.726, 0.452, 0.250)  -0.10
Se (0.686, 0.371, 0.592)  -0.09
Se (0.051, 0.103, 0.121)  -0.12
Se (0.314, 0.629, 0.408)  -0.09
Se (0.686, 0.371, 0.908)  -0.09
Se (0.949, 0.897, 0.879)  -0.12
Se (0.274, 0.548, 0.750)  -0.10
Se (0.314, 0.629, 0.092)  -0.09
Se (0.051, 0.103, 0.379)  -0.12
Np (0.849, 0.697, 0.433)  3.66
Np (0.151, 0.303, 0.933)  3.66
Np (0.151, 0.303, 0.567)  3.66
Np (0.849, 0.697, 0.067)  3.66
Al (0.807, 0.614, 0.750)  0.03
Al (0.193, 0.386, 0.250)  0.03

Results
* SG: Cmcm
* energy: -6.7515 eV/atom
* size of the total moment: 7.0 μB per formula unit
* formation energy (no corrections): -84.00 kJ/mol of atoms



Record 15
First-principles (PBE) data for an optimized crystal structure of KSc2Ag, as listed in Alexandria.

Cell lengths 6.946, 6.946, 5.759 Å; angles 65.46, 65.46, 26.33 degrees
Element x y z (fractional)
Sc (0.457, 0.457, 0.543)
Sc (0.043, 0.043, 0.957)
K (0.250, 0.250, 0.250)
Ag (0.750, 0.750, 0.750)

Results
* SG: Immm
* formation enthalpy at 0 K: 0.3087 eV per atom
* energy: -3.8443 eV/atom
* size of the total moment: 0.0 μB per formula unit



Record 16
First-principles (PBE) data for an optimized crystal structure of HfP2OsO, as listed in Alexandria.

Cell lengths 5.046, 5.046, 3.817 Å; angles 90.00, 90.00, 90.00 degrees
Each line ends with the local moment (μB).
Element x y z (fractional)
O (0.000, 0.000, 0.500)  0.00
Os (0.500, 0.500, 0.500)  2.14
P (0.000, 0.500, 0.000)  -0.06
P (0.500, 0.000, 0.000)  -0.06
Hf (0.000, 0.000, 0.000)  0.01

Results
* ΔE to the lowest computed polymorph: 423.9 meV per atom
* SG: P4/mmm
* energy: -7.0549 eV/atom
* size of the total moment: 2.1 μB per formula unit
* formation energy (no corrections): 32.55 kJ/mol of atoms



Record 17
First-principles (PBE) data for an optimized crystal structure of Mn2ZnSi, as listed in Alexandria.

Cell lengths 5.976, 4.392, 2.658 Å; angles 89.97, 63.63, 123.09 degrees
Each line ends with the local moment (μB).
Element x y z (fractional)
Mn (0.000, 0.000, 0.000)  2.33
Mn (0.500, 0.000, 0.500)  2.33
Si (0.000, 0.500, 0.500)  -0.09
Zn (0.500, 0.500, 0.000)  -0.04

Results
* SG: Cmmm
* energy: -6.3796 eV/atom
* size of the total moment: 4.6 μB per formula unit
* formation energy (no corrections): -11.64 kJ/mol of atoms



Record 18
First-principles (PBE) data for an optimized crystal structure of TbSm4Al5, as listed in Alexandria.

Cell lengths 3.666, 3.666, 18.332 Å; angles 90.00, 90.00, 90.00 degrees
Element x y z (fractional)
Tb (0.000, 0.000, 0.000)
Al (0.500, 0.500, 0.500)
Al (0.500, 0.500, 0.904)
Al (0.500, 0.500, 0.702)
Al (0.500, 0.500, 0.096)
Al (0.500, 0.500, 0.298)
Sm (0.000, 0.000, 0.198)
Sm (0.000, 0.000, 0.399)
Sm (0.000, 0.000, 0.601)
Sm (0.000, 0.000, 0.802)

Results
* SG: P4/mmm
* formation enthalpy at 0 K: -0.3783 eV per atom
* energy: -4.6003 eV/atom
* size of the total moment: 0.0 μB per formula unit



Record 19
First-principles (PBE) data for an optimized crystal structure of Sm2ErTm4, as listed in Alexandria.

Cell lengths 8.683, 10.090, 9.421 Å; angles 144.24, 96.74, 97.55 degrees
Element x y z (fractional)
Sm (0.611, 0.142, 0.004)
Sm (0.123, 0.493, 0.864)
Sm (0.726, 0.246, 0.754)
Sm (0.567, 0.828, 0.066)
Tm (0.834, 0.817, 0.612)
Tm (0.926, 0.853, 0.298)
Tm (0.775, 0.498, 0.646)
Tm (0.248, 0.107, 0.771)
Tm (0.985, 0.150, 0.240)
Tm (0.347, 0.152, 0.465)
Tm (0.401, 0.466, 0.423)
Tm (0.456, 0.711, 0.312)
Er (0.193, 0.816, 0.832)
Er (0.058, 0.473, 0.212)

Results
* ΔE to the lowest computed polymorph: 0.0 meV per atom
* SG: P1
* formation enthalpy at 0 K: 0.0717 eV per atom
* energy: -4.4836 eV/atom
* size of the total moment: 0.0 μB per formula unit



Record 20
First-principles (PBE) data for an optimized crystal structure of AuSeBr2, as listed in Alexandria.

Cell lengths 4.768, 5.756, 7.231 Å; angles 46.06, 90.00, 90.00 degrees
Element x y z (fractional)
Br (0.500, 0.211, 0.234)
Br (0.000, 0.040, 0.897)
Au (0.500, 0.648, 0.731)
Se (0.000, 0.601, 0.638)

Results
* ΔE to the lowest computed polymorph: 64.7 meV per atom
* SG: Pm
* energy: -2.5076 eV/atom
* size of the total moment: 0.0 μB per formula unit
* formation energy (no corrections): 1.86 kJ/mol of atoms



Record 21
First-principles (PBE) data for an optimized crystal structure of LiGe2Rh2, as listed in Alexandria.

Cell lengths 3.925, 3.925, 6.216 Å; angles 71.60, 71.60, 90.00 degrees
Element x y z (fractional)
Rh (0.615, 0.615, 0.769)
Rh (0.385, 0.385, 0.231)
Ge (0.750, 0.250, 0.500)
Ge (0.250, 0.750, 0.500)
Li (0.000, 0.000, 0.000)

Results
* SG: I4/mmm
* formation enthalpy at 0 K: -0.2883 eV per atom
* energy: -5.4586 eV/atom
* size of the total moment: 0.0 μB per formula unit



Record 22
First-principles (PBE) data for an optimized crystal structure of BaLa2Rh, as listed in Alexandria.

Cell lengths 5.476, 5.476, 5.476 Å; angles 60.00, 60.00, 60.00 degrees
Element x y z (fractional)
Ba (0.500, 0.500, 0.500)
La (0.000, 0.000, 0.000)
La (0.250, 0.250, 0.250)
Rh (0.750, 0.750, 0.750)

Results
* ΔE to the lowest computed polymorph: 618.8 meV per atom
* SG: F-43m
* formation enthalpy at 0 K: 0.2035 eV per atom
* energy: -4.5788 eV/atom
* size of the total moment: 0.0 μB per formula unit